(1)
Compound: CsDyCuTe3
Source: Alexandria via LeMat-Bulk
Functional: GGA-PBE
Structure: optimized geometry

Cell: 4.2912 10.6071 10.8569 Å, 116.38 90.00 90.00°
Last column: nearest neighbours and their distance in Å.
Fractional coordinates of all 12 atoms:
Cu1 0.2500 0.0851 0.5964  4 Te 2.62-2.65
Dy1 0.2500 0.6781 0.1464  6 Te 3.06-3.11
Cs1 0.2500 0.2206 0.2440  7 Te 3.85-3.93, 2 Cs 4.29
Te1 0.7500 0.8850 0.1505  1 Cu 2.62
Dy2 0.7500 0.3219 0.8536  6 Te 3.06-3.11
Te2 0.7500 0.4796 0.1687  3 Dy 3.07-3.09
Te3 0.2500 0.8078 0.4662  3 Cu 2.64-2.65
Te4 0.7500 0.1922 0.5338  3 Cu 2.64-2.65
Cs2 0.7500 0.7794 0.7560  7 Te 3.85-3.93, 2 Cs 4.29
Te5 0.2500 0.5204 0.8313  3 Dy 3.07-3.09
Cu2 0.7500 0.9149 0.4036  4 Te 2.62-2.65
Te6 0.2500 0.1150 0.8495  1 Cu 2.62

Calculated values
* SG: No. 11
* formation energy (no corrections): -932 meV/atom
* total energy: -49.139 eV per cell

***

(2)
Compound: Cs2ErCu3F12
Source: Alexandria via LeMat-Bulk
Functional: GGA-PBE
Structure: optimized geometry

Cell: 7.5768 7.5768 7.5768 Å, 59.10 59.10 59.10°
Last column: nearest neighbours and their distance in Å.
Fractional coordinates of all 18 atoms:
F1 0.0795 0.6944 0.6944  2 Cu 1.97
F2 0.3056 0.3056 0.9205  2 Cu 1.97
Er1 0.0000 0.0000 0.0000  6 F 2.17
F3 0.6944 0.6944 0.0795  2 Cu 1.97
F4 0.6944 0.0795 0.6944  2 Cu 1.97
Cu1 0.0000 0.0000 0.5000  6 F 1.97-2.02
Cu2 0.0000 0.5000 0.0000  6 F 1.97-2.02
F5 0.0836 0.0836 0.6533  1 Cu 2.02, 1 Er 2.17
Cs1 0.3875 0.3875 0.3875  9 F 3.25-3.51
F6 0.9205 0.3056 0.3056  2 Cu 1.97
F7 0.3056 0.9205 0.3056  2 Cu 1.97
F8 0.3467 0.9164 0.9164  1 Cu 2.02, 1 Er 2.17
F9 0.6533 0.0836 0.0836  1 Cu 2.02, 1 Er 2.17
F10 0.0836 0.6533 0.0836  1 Cu 2.02, 1 Er 2.17
Cu3 0.5000 0.0000 0.0000  6 F 1.97-2.02
Cs2 0.6125 0.6125 0.6125  9 F 3.25-3.51
F11 0.9164 0.3467 0.9164  1 Cu 2.02, 1 Er 2.17
F12 0.9164 0.9164 0.3467  1 Cu 2.02, 1 Er 2.17

Calculated values
* SG: No. 166
* formation energy (no corrections): -2417 meV/atom
* total energy: -84.528 eV per cell

***

(3)
Compound: Cs2ErCuF6
Source: Alexandria via LeMat-Bulk
Functional: GGA-PBE
Structure: optimized geometry

Cell: 6.4065 6.4065 6.9869 Å, 57.16 57.16 79.44°
Last column: nearest neighbours and their distance in Å.
Fractional coordinates of all 10 atoms:
Er1 0.0000 0.0000 0.0000  6 F 2.15-2.20
F1 0.2177 0.2177 0.0000  1 Er 2.15
F2 0.2684 0.7316 0.0000  1 Cu 1.90
F3 0.7316 0.2684 0.0000  1 Cu 1.90
Cs1 0.2500 0.7500 0.5000  12 F 3.22-3.50
F4 0.2168 0.2168 0.5667  1 Er 2.15
Cu1 0.5000 0.5000 0.0000  2 F 1.90
F5 0.7823 0.7823 0.0000  1 Er 2.15
Cs2 0.7500 0.2500 0.5000  12 F 3.22-3.50
F6 0.7832 0.7832 0.4333  1 Er 2.15

Calculated values
* SG: No. 69
* formation energy (no corrections): -2965 meV/atom
* total energy: -51.244 eV per cell

***

(4)
Compound: CsErCuI5
Source: Alexandria via LeMat-Bulk
Functional: GGA-PBE
Structure: optimized geometry

Cell: 8.4356 8.4356 11.3532 Å, 104.07 104.07 104.91°
Last column: nearest neighbours and their distance in Å.
Fractional coordinates of all 16 atoms:
I1 0.2182 0.3791 0.5722  1 Cu 2.70
I2 0.1000 0.6900 0.8897  1 Cu 2.63
Er1 0.0000 0.0000 0.5000  6 I 3.00-3.04
I3 0.6209 0.7818 0.9278  1 Cu 2.70
Cs1 0.6452 0.3548 0.7500  5 I 3.76-3.81
I4 0.3791 0.2182 0.0722  1 Cu 2.70
I5 0.6900 0.1000 0.3897  1 Cu 2.63
Cu1 0.3076 0.6924 0.7500  4 I 2.63-2.70
Cu2 0.6924 0.3076 0.2500  4 I 2.63-2.70
I6 0.7818 0.6209 0.4278  1 Cu 2.70
Er2 0.0000 0.0000 0.0000  6 I 3.00-3.04
I7 0.9000 0.3100 0.1103  1 Cu 2.63
I8 0.0734 0.9266 0.2500  2 Er 3.00
I9 0.3100 0.9000 0.6103  1 Cu 2.63
Cs2 0.3548 0.6452 0.2500  5 I 3.76-3.81
I10 0.9266 0.0734 0.7500  2 Er 3.00

Calculated values
* SG: No. 15
* formation energy (no corrections): -1087 meV/atom
* total energy: -51.913 eV per cell